This record from Alexandria via LeMat-Bulk describes a relaxed Sb3PtCl crystal. The functional is GGA-PBEsol.

Cell lengths 5.094, 5.094, 5.094 Å; angles 90.00, 90.00, 90.00 degrees
Sites, in units of the cell vectors:
Pt (0.500, 0.500, 0.500)
Cl (0.000, 0.000, 0.000)
Sb (0.500, 0.000, 0.000)
Sb (0.000, 0.000, 0.500)
Sb (0.000, 0.500, 0.000)

Values from the calculation:
E_tot = -16.93 eV per cell

This record from Alexandria via LeMat-Bulk describes a relaxed Y3Ga9Pt2 crystal. The functional is GGA-PBEsol.

Cell lengths 4.151, 8.111, 8.111 Å; angles 75.25, 75.17, 75.17 degrees
Sites, in units of the cell vectors:
Y (0.323, 0.677, 0.677)
Pt (0.500, 0.274, 0.726)
Ga (0.668, 0.957, 0.707)
Y (0.677, 0.323, 0.323)
Ga (0.130, 0.590, 0.150)
Ga (0.870, 0.410, 0.850)
Ga (0.668, 0.707, 0.957)
Pt (0.500, 0.726, 0.274)
Y (0.000, 0.000, 0.000)
Ga (0.870, 0.850, 0.410)
Ga (0.332, 0.043, 0.293)
Ga (0.130, 0.150, 0.590)
Ga (0.332, 0.293, 0.043)
Ga (0.000, 0.500, 0.500)

Values from the calculation:
E_tot = -74.96 eV per cell
ΔE_f = -10.510 eV per formula unit

This record from Alexandria via LeMat-Bulk describes a relaxed ScSi3As crystal. The functional is GGA-PBEsol.

Cell lengths 4.916, 4.916, 4.916 Å; angles 90.00, 90.00, 90.00 degrees
Sites, in units of the cell vectors:
Si (0.500, 0.000, 0.000)
Sc (0.000, 0.000, 0.000)
Si (0.000, 0.500, 0.000)
As (0.500, 0.500, 0.500)
Si (0.000, 0.000, 0.500)

Values from the calculation:
E_tot = -23.38 eV per cell

This record from Alexandria via LeMat-Bulk describes a relaxed Sc2InCl crystal. The functional is GGA-PBEsol.

Cell lengths 3.379, 3.363, 7.512 Å; angles 90.00, 90.00, 90.00 degrees
Sites, in units of the cell vectors:
Cl (0.500, 0.000, 0.000)
In (0.500, 0.500, 0.500)
Sc (0.000, 0.000, 0.252)
Sc (0.000, 0.000, 0.748)

Values from the calculation:
E_tot = -21.55 eV per cell

This record from Alexandria via LeMat-Bulk describes a relaxed In2FeP crystal. The functional is GGA-PBEsol.

Cell lengths 3.495, 4.449, 4.523 Å; angles 90.00, 90.00, 90.00 degrees
Site moments in Bohr magnetons follow the coordinates.
Sites, in units of the cell vectors:
In (0.000, 0.500, 0.500)  -0.05
Fe (0.500, 0.000, 0.500)  2.30
In (0.000, 0.000, 0.000)  -0.05
P (0.500, 0.500, 0.000)  -0.01

Values from the calculation:
E_tot = -18.96 eV per cell
ΔE_f = 1.765 eV per formula unit

This record from Alexandria via LeMat-Bulk describes a relaxed ZnSiAg2 crystal. The functional is GGA-PBEsol.

Cell lengths 2.994, 4.635, 4.808 Å; angles 98.63, 90.00, 108.84 degrees
Sites, in units of the cell vectors:
Si (0.000, 0.000, 0.500)
Ag (0.750, 0.500, 0.749)
Zn (0.500, 0.000, 0.000)
Ag (0.250, 0.500, 0.251)

Values from the calculation:
E_tot = -13.48 eV per cell